Material: Dy4Tm3Ni4
Method: DFT, PBE-GGA
State: relaxed

Results
final energy: -57.6 eV/cell
energy of formation from the pure elements: -0.24 eV per atom
V: 22.800 Å³ per atom
symmetry: No. 71
magnetic moment: 0.0 μB per cell
DOS at the Fermi energy: 11.35 states/eV/cell

a b c (Å): 8.913 8.913 8.913
angles (deg): 155.67 119.94 65.78
Fractional positions:
Dy  0.026  0.840  0.186
Dy  0.346  0.160  0.186
Dy  0.654  0.840  0.814
Dy  0.974  0.160  0.814
Tm  0.000  0.500  0.500
Tm  0.390  0.390  0.000
Tm  0.610  0.610  0.000
Ni  0.241  0.741  0.500
Ni  0.350  0.000  0.350
Ni  0.650  0.000  0.650
Ni  0.759  0.259  0.500